Density functional theory data (PBE) for an optimized crystal structure of TiCr3Cu.

POSCAR file:
```
TiCr3Cu
1.0
4.286 0.000 0.000
0.000 4.286 0.000
0.000 0.000 4.286
Ti Cr Cu
1 3 1
Direct
0.500 0.500 0.500
0.500 0.000 0.000
0.000 0.000 0.500
0.000 0.500 0.000
0.000 0.000 0.000
```

Output
polymorph energy (0 for the lowest one)	0	meV per atom
E_form	7.566	eV/f.u.
size of the total moment	0.00	μB per cell